CdReRu2: relaxed, PBE.

a = 9.347 Å, b = 9.347 Å, c = 9.347 Å
α = 17.21°, β = 17.21°, γ = 17.21°
Fractional positions:
Cd: 0.250 0.250 0.250
Ru: 0.493 0.493 0.493
Re: 0.750 0.750 0.750
Ru: 0.007 0.007 0.007

Results
**Magnetic moment**: 0.00 μB/cell
**Formation enthalpy at 0 K**: 0.144 eV/atom